## ZnSi (SCAN)

Data for a crystal of ZnSi relaxed with PBEsol.

Cell lengths 4.009, 4.009, 7.333 Å; angles 90.00, 90.00, 90.00 degrees
Space group I4_1/amd (No. 141, origin choice 2)
Inequivalent atoms, fractional coordinates:
Zn  0.000  0.250  0.375
Si  0.000  0.250  0.875

Output
formation energy (no corrections) = 0.454 eV/atom
raw total energy = -11.31 eV per atom
M_tot = 0.00 μB per cell